First-principles (GGA-PBEsol) data for an optimized crystal structure of AlCoIr2, as listed in Alexandria via LeMat-Bulk.

Cell: 4.2340 4.2340 4.2340 Å, 60.00 60.00 60.00°
Positions (direct):
Al1 0.0000 0.0000 0.0000
Co1 0.2500 0.2500 0.2500
Ir1 0.5000 0.5000 0.5000
Ir2 0.7500 0.7500 0.7500

Summary:
SG ... F-43m
Final energy ... -7.92 eV per atom
Magnetic moment ... 2.6 μB/f.u.
DFT formation energy ... -0.0487 eV/atom

First-principles (GGA-PBEsol) data for an optimized crystal structure of Rb2AlCoIr, as listed in Alexandria via LeMat-Bulk.

Cell: 6.4460 6.4460 4.5635 Å, 90.00 90.00 90.00°
Positions (direct):
Rb1 0.0000 0.5000 0.0000
Rb2 0.5000 0.0000 0.0000
Al1 0.0000 0.0000 0.0000
Co1 0.5000 0.5000 0.5000
Ir1 0.0000 0.0000 0.5000

Summary:
SG ... P4/mmm
Final energy ... -3.35 eV per atom
Magnetic moment ... 2.5 μB/f.u.
DFT formation energy ... 1.3898 eV/atom

First-principles (GGA-PBEsol) data for an optimized crystal structure of K2AlCo, as listed in Alexandria via LeMat-Bulk.

Cell: 3.0291 5.5299 5.8068 Å, 90.00 90.00 90.00°
Positions (direct):
K1 0.0000 0.0000 0.2434
K2 0.0000 0.0000 0.7566
Al1 0.5000 0.5000 0.5000
Co1 0.5000 0.5000 0.0000

Summary:
SG ... Pmmm
Final energy ... -2.55 eV per atom
Magnetic moment ... 1.5 μB/f.u.
DFT formation energy ... 0.9751 eV/atom

Question: Which of these has the lowest magnetic moment?
Answer: K2AlCo